# 1
Compound: KCaCo2Cl8
Source: Alexandria
Functional: PBE-GGA
Structure: optimized geometry

space group = R-3, No. 148
raw formation energy = -1.235 eV per atom

The structure in CIF format:
```
data_KCaCo2Cl8
_space_group_name_H-M_alt 'P 1'
_space_group_IT_number 1
_cell_length_a 10.1326
_cell_length_b 10.1326
_cell_length_c 10.1326
_cell_angle_alpha 37.34
_cell_angle_beta 37.34
_cell_angle_gamma 37.34
loop_
_space_group_symop_operation_xyz
'x,y,z'
loop_
_atom_site_label
_atom_site_type_symbol
_atom_site_fract_x
_atom_site_fract_y
_atom_site_fract_z
K1 K 0.0000 0.0000 0.0000
Ca1 Ca 0.5000 0.5000 0.5000
Co1 Co 0.2498 0.2498 0.2498
Co2 Co 0.7502 0.7502 0.7502
Cl1 Cl 0.0963 0.7850 0.4431
Cl2 Cl 0.2150 0.5569 0.9037
Cl3 Cl 0.3269 0.3269 0.3269
Cl4 Cl 0.4431 0.0963 0.7850
Cl5 Cl 0.5569 0.9037 0.2150
Cl6 Cl 0.6731 0.6731 0.6731
Cl7 Cl 0.7850 0.4431 0.0963
Cl8 Cl 0.9037 0.2150 0.5569
```

# 2
Compound: K2CaCoCl6
Source: Alexandria
Functional: PBE-GGA
Structure: optimized geometry

space group = Fm-3m, No. 225
raw formation energy = -1.622 eV per atom

The structure in CIF format:
```
data_K2CaCoCl6
_space_group_name_H-M_alt 'P 1'
_space_group_IT_number 1
_cell_length_a 7.2572
_cell_length_b 7.2572
_cell_length_c 7.2572
_cell_angle_alpha 60.00
_cell_angle_beta 60.00
_cell_angle_gamma 60.00
loop_
_space_group_symop_operation_xyz
'x,y,z'
loop_
_atom_site_label
_atom_site_type_symbol
_atom_site_fract_x
_atom_site_fract_y
_atom_site_fract_z
K1 K 0.2500 0.2500 0.2500
K2 K 0.7500 0.7500 0.7500
Ca1 Ca 0.0000 0.0000 0.0000
Co1 Co 0.5000 0.5000 0.5000
Cl1 Cl 0.2628 0.2628 0.7372
Cl2 Cl 0.2628 0.7372 0.2628
Cl3 Cl 0.2628 0.7372 0.7372
Cl4 Cl 0.7372 0.2628 0.2628
Cl5 Cl 0.7372 0.2628 0.7372
Cl6 Cl 0.7372 0.7372 0.2628
```

# 3
Compound: KCa2CoCl8
Source: Alexandria
Functional: PBE-GGA
Structure: optimized geometry

space group = P-1, No. 2
raw formation energy = -1.603 eV per atom

The structure in CIF format:
```
data_KCa2CoCl8
_space_group_name_H-M_alt 'P 1'
_space_group_IT_number 1
_cell_length_a 6.1058
_cell_length_b 6.2005
_cell_length_c 8.4603
_cell_angle_alpha 89.97
_cell_angle_beta 89.93
_cell_angle_gamma 88.85
loop_
_space_group_symop_operation_xyz
'x,y,z'
loop_
_atom_site_label
_atom_site_type_symbol
_atom_site_fract_x
_atom_site_fract_y
_atom_site_fract_z
K1 K 0.0000 0.0000 0.0000
Ca1 Ca 0.4996 0.4998 0.2572
Ca2 Ca 0.5004 0.5002 0.7428
Co1 Co 0.0000 0.0000 0.5000
Cl1 Cl 0.2159 0.8480 0.6904
Cl2 Cl 0.2166 0.8489 0.3094
Cl3 Cl 0.2245 0.3012 0.5003
Cl4 Cl 0.2693 0.3808 0.0000
Cl5 Cl 0.7307 0.6192 0.0000
Cl6 Cl 0.7755 0.6988 0.4997
Cl7 Cl 0.7834 0.1511 0.6906
Cl8 Cl 0.7841 0.1520 0.3096
```

# 4
Compound: Ca2CoNCl
Source: Alexandria
Functional: PBE-GGA
Structure: optimized geometry

space group = P4/mmm, No. 123
raw formation energy = -1.006 eV per atom

The structure in CIF format:
```
data_Ca2CoNCl
_space_group_name_H-M_alt 'P 1'
_space_group_IT_number 1
_cell_length_a 5.0812
_cell_length_b 5.0812
_cell_length_c 3.5250
_cell_angle_alpha 90.00
_cell_angle_beta 90.00
_cell_angle_gamma 90.00
loop_
_space_group_symop_operation_xyz
'x,y,z'
loop_
_atom_site_label
_atom_site_type_symbol
_atom_site_fract_x
_atom_site_fract_y
_atom_site_fract_z
Ca1 Ca 0.0000 0.5000 0.0000
Ca2 Ca 0.5000 0.0000 0.0000
Co1 Co 0.0000 0.0000 0.5000
N1 N 0.0000 0.0000 0.0000
Cl1 Cl 0.5000 0.5000 0.5000
```

# 5
Compound: Na2CaCoCl6
Source: Alexandria
Functional: PBE-GGA
Structure: optimized geometry

space group = R3, No. 146
raw formation energy = -1.559 eV per atom

The structure in CIF format:
```
data_Na2CaCoCl6
_space_group_name_H-M_alt 'P 1'
_space_group_IT_number 1
_cell_length_a 7.1658
_cell_length_b 7.1658
_cell_length_c 7.1658
_cell_angle_alpha 57.16
_cell_angle_beta 57.16
_cell_angle_gamma 57.16
loop_
_space_group_symop_operation_xyz
'x,y,z'
loop_
_atom_site_label
_atom_site_type_symbol
_atom_site_fract_x
_atom_site_fract_y
_atom_site_fract_z
Na1 Na 0.0000 0.0000 0.0000
Na2 Na 0.4976 0.4976 0.4976
Ca1 Ca 0.2923 0.2923 0.2923
Co1 Co 0.7945 0.7945 0.7945
Cl1 Cl 0.0453 0.4428 0.6791
Cl2 Cl 0.1526 0.9101 0.5786
Cl3 Cl 0.4428 0.6791 0.0453
Cl4 Cl 0.5786 0.1526 0.9101
Cl5 Cl 0.6791 0.0453 0.4428
Cl6 Cl 0.9101 0.5786 0.1526
```

# 6
Compound: NaCaCo2Cl
Source: Alexandria
Functional: PBE-GGA
Structure: optimized geometry

space group = P4/mmm, No. 123
raw formation energy = 0.443 eV per atom

The structure in CIF format:
```
data_NaCaCo2Cl
_space_group_name_H-M_alt 'P 1'
_space_group_IT_number 1
_cell_length_a 4.3830
_cell_length_b 4.3830
_cell_length_c 4.9477
_cell_angle_alpha 90.00
_cell_angle_beta 90.00
_cell_angle_gamma 90.00
loop_
_space_group_symop_operation_xyz
'x,y,z'
loop_
_atom_site_label
_atom_site_type_symbol
_atom_site_fract_x
_atom_site_fract_y
_atom_site_fract_z
Na1 Na 0.0000 0.0000 0.0000
Ca1 Ca 0.5000 0.5000 0.0000
Co1 Co 0.0000 0.5000 0.5000
Co2 Co 0.5000 0.0000 0.5000
Cl1 Cl 0.0000 0.0000 0.5000
```